Computed, not measured: a geometry-optimized Ho3Te4 structure at the GGA-PBE level of DFT.

Summary:
Crystal system: orthorhombic
E_tot, eV per atom: -5.136
Size of the total moment, μB per formula unit: 0.001

Structure (extended XYZ):
```
14
Lattice="7.2246 0.0000 0.0000 0.0000 14.9328 0.0000 0.0000 0.0000 4.3354" Properties=species:S:1:pos:R:3 pbc="T T T"
Te 1.7370 5.0102 0.0000
Te 5.4877 9.9226 0.0000
Te 1.7488 1.2543 2.1677
Ho 3.6123 7.4664 0.0000
Te 5.4759 13.6785 2.1677
Te 5.3493 2.4562 0.0000
Ho 0.0000 0.0000 0.0000
Ho 3.5470 3.7465 2.1677
Te 5.3611 6.2121 2.1677
Te 1.8754 12.4767 0.0000
Ho 3.6776 11.1863 2.1677
Ho 7.1594 3.7199 2.1677
Te 1.8635 8.7207 2.1677
Ho 0.0653 11.2129 2.1677
```